Below is crystalline YZr2Te at its relaxed geometry, with properties calculated at the GGA-PBE level.

The structure belongs to space group Cmmm (No. 65); the cell edges are 6.270, 8.736 and 3.574 Å and the angles 90.00°, 90.00° and 90.00°. The distinct sites, in fractional coordinates, are Y at (0.000, 0.000, 0.000), Zr at (0.250, 0.250, 0.500) and Te at (0.000, 0.500, 0.000).

The value obtained for the density is 6768 kg/m3. The calculation puts the density of states at the Fermi level at 4.32 states/eV/f.u. The value obtained for the final energy is -6.9077 eV/atom. The calculation puts the energy relative to the elements, uncorrected at -232 meV/atom. Its magnetic moment is 0.0000 μB/atom.